Entry 1:
DFT (GGA-PBE) results for a relaxed Ca2FeB2Rh5 crystal.

- V: 282 Å³/cell
- E_tot: -0.2465 hartree per atom

Geometry as extended XYZ:
```
20
Lattice="2.985 0.000 0.000 0.000 9.715 0.000 0.000 0.000 9.715" Properties=species:S:1:pos:R:3 pbc="T T T"
Rh 1.492 9.050 2.127
Rh 1.492 4.192 2.730
B 0.000 6.056 8.517
B 0.000 8.517 3.659
Ca 0.000 3.138 7.996
Ca 0.000 1.720 3.138
Rh 1.492 0.666 7.588
Fe 0.000 4.858 4.858
Ca 0.000 7.996 6.577
B 0.000 1.199 6.056
B 0.000 3.659 1.199
Rh 1.492 0.000 4.858
Rh 1.492 7.588 9.050
Rh 1.492 2.730 5.524
Rh 1.492 6.985 4.192
Rh 1.492 4.858 0.000
Rh 1.492 5.524 6.985
Ca 0.000 6.577 1.720
Rh 1.492 2.127 0.666
Fe 0.000 0.000 0.000
```



Entry 2:
DFT (GGA-PBE) results for a relaxed CaFeSi2B6 crystal.

- V: 234 Å³/cell
- Formation energy from raw total energies: 100 meV per atom

Geometry as extended XYZ:
```
20
Lattice="6.573 0.302 -0.795 -0.505 6.561 -0.795 -2.247 -2.541 6.004" Properties=species:S:1:pos:R:3 pbc="T T T"
Fe 0.958 1.871 3.708
B -1.129 1.565 4.075
Si 4.086 3.162 2.710
B 4.272 4.164 0.991
B -0.450 0.158 3.424
Ca 0.255 4.757 0.706
B 1.007 3.980 3.342
B 4.950 2.757 0.340
Si 3.761 5.713 -0.292
B 1.884 1.271 2.064
Ca 3.567 -0.435 3.708
B 1.335 0.843 0.422
B 1.937 3.051 2.350
Fe 2.863 2.451 0.706
B 2.486 3.479 3.993
B -0.092 0.755 5.066
Si -0.264 1.160 1.704
B 3.914 3.567 -0.652
B 2.815 0.342 1.073
Si 0.061 -1.391 4.706
```



Entry 3:
DFT (GGA-PBE) results for a relaxed SrCa2FeB crystal.

- V: 129 Å³/cell
- E_tot: -0.1314 hartree per atom

Geometry as extended XYZ:
```
5
Lattice="-4.187 -3.657 0.223 1.183 -1.121 3.829 -3.305 3.916 2.167" Properties=species:S:1:pos:R:3 pbc="T T T"
Ca -1.653 1.958 1.083
Sr -3.155 -0.431 3.109
Ca -2.094 -1.829 0.111
B 0.591 -0.560 1.915
Fe 0.000 0.000 0.000
```



Entry 4:
DFT (GGA-PBE) results for a relaxed Ca2FeBTe crystal.

- V: 111 Å³/cell
- Formation energy from raw total energies: -275 meV per atom

Geometry as extended XYZ:
```
5
Lattice="5.302 0.000 0.000 0.000 5.302 0.000 0.000 0.000 3.947" Properties=species:S:1:pos:R:3 pbc="T T T"
Ca 0.000 2.651 0.000
Te 2.651 2.651 1.973
Fe 0.000 0.000 1.973
B 0.000 0.000 0.000
Ca 2.651 0.000 0.000
```



Entry 5:
DFT (GGA-PBE) results for a relaxed CaGaB3 crystal.

- V: 115 Å³/cell
- E_tot: -0.0901 hartree per atom

Geometry as extended XYZ:
```
5
Lattice="4.868 0.000 0.000 0.000 4.868 0.000 0.000 0.000 4.868" Properties=species:S:1:pos:R:3 pbc="T T T"
Ga 2.434 2.434 2.434
B 0.000 2.434 0.000
B 0.000 0.000 2.434
B 2.434 0.000 0.000
Ca 0.000 0.000 0.000
```



Entry 6:
DFT (GGA-PBE) results for a relaxed CaGaB2 crystal.

- V: 124 Å³/cell
- E_tot: -0.1548 hartree per atom

Geometry as extended XYZ:
```
8
Lattice="-0.593 -0.242 4.130 -2.582 -3.238 -0.561 3.906 -6.212 2.312" Properties=species:S:1:pos:R:3 pbc="T T T"
Ga 0.863 -4.097 4.113
B 0.135 -2.169 4.121
B -1.156 -3.789 3.842
Ga 0.000 0.000 0.000
Ca -1.588 -1.740 1.785
B 2.384 -5.155 3.212
B 2.088 -5.275 5.278
Ca -0.131 -5.595 1.768
```



Entry 7:
DFT (GGA-PBE) results for a relaxed CaGaB3 crystal.

- V: 75 Å³/cell
- E_tot: -0.1374 hartree per atom

Geometry as extended XYZ:
```
5
Lattice="4.217 0.000 0.000 0.000 4.217 0.000 0.000 0.000 4.217" Properties=species:S:1:pos:R:3 pbc="T T T"
B 0.000 2.109 0.000
B 0.000 0.000 2.109
Ga 0.000 0.000 0.000
Ca 2.109 2.109 2.109
B 2.109 0.000 0.000
```



Entry 8:
DFT (GGA-PBE) results for a relaxed Ca2GaB crystal.

- V: 196 Å³/cell
- E_tot: -0.1082 hartree per atom

Geometry as extended XYZ:
```
8
Lattice="-3.702 -4.791 4.737 6.728 -2.909 2.316 1.664 -1.575 5.945" Properties=species:S:1:pos:R:3 pbc="T T T"
Ca 2.715 -4.213 7.218
Ga -0.262 -5.108 7.104
Ga 0.000 0.000 0.000
Ca 3.564 -7.776 10.515
B 4.953 -4.167 5.893
B 1.513 -3.850 3.526
Ca 3.976 -3.048 3.759
Ca -0.874 -3.515 4.502
```